Record 1
First-principles (PBE) data for a geometry-optimized Zn2OsPt structure, as listed in Alexandria via LeMat-Bulk.

## Properties
For the energy of formation from the pure elements, the calculation gives 481 meV/atom. The size of the total moment is 1.56 μB/f.u. Its uncorrected energy is -0.16441 Ha/atom.

Cell lengths 5.5781, 5.5781, 5.5781 Å; angles 103.29, 103.29, 122.69 degrees
With the nearest neighbours (Å) after each atom.
Element x y z (fractional)
Zn 0.1215 0.6250 0.9965  2 Pt 2.52, 2 Os 2.55, 2 Zn 2.68
Zn 0.3750 0.3715 0.4965  2 Pt 2.52, 2 Os 2.55, 2 Zn 2.68
Zn 0.6285 0.1250 0.0035  2 Pt 2.52, 2 Os 2.55, 2 Zn 2.68
Zn 0.8750 0.8785 0.5035  2 Pt 2.52, 2 Os 2.55, 2 Zn 2.68
Os 0.2500 0.7500 0.5000  4 Zn 2.55, 2 Pt 2.67
Os 0.5000 0.5000 0.0000  4 Zn 2.55, 2 Pt 2.67
Pt 0.0000 0.0000 0.0000  4 Zn 2.52, 2 Os 2.67
Pt 0.7500 0.2500 0.5000  4 Zn 2.52, 2 Os 2.67

---

Record 2
First-principles (PBE) data for a geometry-optimized UTc2Pd structure, as listed in Alexandria via LeMat-Bulk.

## Properties
For the energy of formation from the pure elements, the calculation gives -203 meV/atom. The size of the total moment is 0.00 μB/f.u. Its uncorrected energy is -0.34936 Ha/atom.

Cell lengths 4.1768, 4.1768, 3.7869 Å; angles 90.00, 90.00, 90.00 degrees
With the nearest neighbours (Å) after each atom.
Element x y z (fractional)
U 0.0000 0.0000 0.0000  8 Tc 2.82, 4 Pd 2.95
Tc 0.0000 0.5000 0.5000  4 U 2.82, 4 Pd 2.82, 4 Tc 2.95
Tc 0.5000 0.0000 0.5000  4 U 2.82, 4 Pd 2.82, 4 Tc 2.95
Pd 0.5000 0.5000 0.0000  8 Tc 2.82, 4 U 2.95

---

Record 3
First-principles (PBE) data for a geometry-optimized LiNbHg structure, as listed in Alexandria via LeMat-Bulk.

## Properties
For the energy of formation from the pure elements, the calculation gives 431 meV/atom. The size of the total moment is 0.00 μB/f.u. The calculation puts the relative energy among the computed polymorphs at 443.3 meV per atom. Its uncorrected energy is -0.13467 Ha/atom.

Cell lengths 4.8764, 4.8764, 2.8239 Å; angles 90.00, 90.00, 120.00 degrees
With the nearest neighbours (Å) after each atom.
Element x y z (fractional)
Li 0.0000 0.0000 0.0000  2 Li 2.82, 6 Nb 3.15, 6 Hg 3.15
Nb 0.6667 0.3333 0.5000  3 Hg 2.82, 2 Nb 2.82, 6 Li 3.15
Hg 0.3333 0.6667 0.5000  3 Nb 2.82, 2 Hg 2.82, 6 Li 3.15

---

Record 4
First-principles (PBE) data for a geometry-optimized Er2SeS structure, as listed in Alexandria via LeMat-Bulk.

## Properties
The size of the total moment is 0.00 μB/f.u. The calculation puts the relative energy among the computed polymorphs at 10.2 meV per atom. The calculation puts the uncorrected formation energy at -1.841 eV/atom. Its uncorrected energy is -0.22145 Ha/atom.

Cell lengths 6.8897, 6.8897, 6.8897 Å; angles 33.25, 33.25, 33.25 degrees
With the nearest neighbours (Å) after each atom.
Element x y z (fractional)
Er 0.2407 0.2407 0.2407  3 S 2.70, 3 Se 2.91
Er 0.7593 0.7593 0.7593  3 S 2.70, 3 Se 2.91
Se 0.0000 0.0000 0.0000  6 Er 2.91
S 0.5000 0.5000 0.5000  6 Er 2.70

---

Record 5
First-principles (PBE) data for a geometry-optimized Ac2Al4Pd3Rh structure, as listed in Alexandria via LeMat-Bulk.

## Properties
For the energy of formation from the pure elements, the calculation gives -841 meV/atom. The size of the total moment is 0.00 μB/f.u. Its uncorrected energy is -0.20039 Ha/atom.

Cell lengths 4.4684, 4.4684, 10.3066 Å; angles 90.00, 90.00, 90.00 degrees
With the nearest neighbours (Å) after each atom.
Element x y z (fractional)
Ac 0.0000 0.5000 0.2449  2 Rh 3.37, 6 Pd 3.37-3.41, 9 Al 3.43-3.71
Ac 0.5000 0.0000 0.7551  2 Rh 3.37, 6 Pd 3.37-3.41, 9 Al 3.43-3.71
Al 0.0000 0.0000 0.5000  4 Pd 2.60
Al 0.0000 0.5000 0.8848  2 Rh 2.53, 3 Pd 2.53-2.63
Al 0.5000 0.0000 0.1152  2 Rh 2.53, 3 Pd 2.53-2.63
Al 0.5000 0.5000 0.5000  4 Pd 2.60
Pd 0.0000 0.0000 0.0000  4 Al 2.53
Pd 0.0000 0.5000 0.6298  5 Al 2.60-2.63
Pd 0.5000 0.0000 0.3702  5 Al 2.60-2.63
Rh 0.5000 0.5000 0.0000  4 Al 2.53

---

Record 6
First-principles (PBE) data for a geometry-optimized ErO2 structure, as listed in Alexandria via LeMat-Bulk.

## Properties
The size of the total moment is 1.00 μB/f.u. The calculation puts the uncorrected formation energy at -2.735 eV/atom. Its uncorrected energy is -0.27789 Ha/atom.

Cell lengths 4.1744, 3.6068, 6.1426 Å; angles 90.00, 108.24, 90.00 degrees
With the nearest neighbours (Å) after each atom.
Element x y z (fractional)
Er 0.1664 0.2500 0.3145  7 O 2.23-2.42
Er 0.8336 0.7500 0.6855  7 O 2.23-2.42
O 0.1829 0.7500 0.0566  3 Er 2.29-2.42, 2 O 2.32
O 0.2681 0.7500 0.5478  4 Er 2.23-2.26
O 0.7319 0.2500 0.4522  4 Er 2.23-2.26
O 0.8171 0.2500 0.9434  3 Er 2.29-2.42, 2 O 2.32

---

Record 7
First-principles (PBE) data for a geometry-optimized Zn3CuO3 structure, as listed in Alexandria via LeMat-Bulk.

## Properties
The size of the total moment is 0.00 μB/f.u. The calculation puts the uncorrected formation energy at -0.800 eV/atom. Its uncorrected energy is -0.14905 Ha/atom.

Cell lengths 5.7004, 5.7004, 5.7004 Å; angles 90.00, 90.00, 90.00 degrees
With the nearest neighbours (Å) after each atom.
Element x y z (fractional)
Zn 0.0000 0.2500 0.5000  4 O 2.02
Zn 0.0000 0.7500 0.5000  4 O 2.02
Zn 0.2500 0.5000 0.0000  4 O 2.02
Zn 0.5000 0.0000 0.2500  4 O 2.02
Zn 0.5000 0.0000 0.7500  4 O 2.02
Zn 0.7500 0.5000 0.0000  4 O 2.02
Cu 0.0000 0.0000 0.0000  12 O 3.19, 12 Zn 3.19
Cu 0.5000 0.5000 0.5000  12 O 3.19, 12 Zn 3.19
O 0.0000 0.5000 0.2500  4 Zn 2.02
O 0.0000 0.5000 0.7500  4 Zn 2.02
O 0.2500 0.0000 0.5000  4 Zn 2.02
O 0.5000 0.2500 0.0000  4 Zn 2.02
O 0.5000 0.7500 0.0000  4 Zn 2.02
O 0.7500 0.0000 0.5000  4 Zn 2.02

---

Record 8
First-principles (PBE) data for a geometry-optimized Dy3Si4Pt2 structure, as listed in Alexandria via LeMat-Bulk.

## Properties
The size of the total moment is 0.00 μB/f.u. The calculation puts the uncorrected formation energy at -1.012 eV/atom. Its uncorrected energy is -0.23146 Ha/atom.

Cell lengths 5.5790, 5.5790, 8.2062 Å; angles 105.39, 105.39, 44.68 degrees
With the nearest neighbours (Å) after each atom.
Element x y z (fractional)
Dy 0.0000 0.0000 0.0000  8 Si 3.02-3.34, 4 Pt 3.35
Dy 0.3630 0.3630 0.3096  8 Si 2.92-3.19, 4 Pt 2.96-3.14
Dy 0.6370 0.6370 0.6904  8 Si 2.92-3.19, 4 Pt 2.96-3.14
Si 0.0931 0.0931 0.4250  2 Pt 2.45, 1 Si 2.56
Si 0.2744 0.2744 0.9379  1 Pt 2.40, 2 Si 2.47
Si 0.7256 0.7256 0.0621  1 Pt 2.40, 2 Si 2.47
Si 0.9069 0.9069 0.5750  2 Pt 2.45, 1 Si 2.56
Pt 0.3498 0.3498 0.6869  3 Si 2.40-2.45
Pt 0.6502 0.6502 0.3131  3 Si 2.40-2.45

---

Record 9
First-principles (PBE) data for a geometry-optimized MnNbVCo structure, as listed in Alexandria via LeMat-Bulk.

## Properties
For the energy of formation from the pure elements, the calculation gives -73 meV/atom. The size of the total moment is 1.67 μB/f.u. Its uncorrected energy is -0.32849 Ha/atom.

Cell lengths 4.2274, 4.2274, 4.2274 Å; angles 60.00, 60.00, 60.00 degrees
With the nearest neighbours (Å) after each atom.
Element x y z (fractional)
Mn 0.0000 0.0000 0.0000  4 Nb 2.59, 4 V 2.59
Nb 0.7500 0.7500 0.7500  4 Mn 2.59, 4 Co 2.59
V 0.2500 0.2500 0.2500  4 Mn 2.59, 4 Co 2.59
Co 0.5000 0.5000 0.5000  4 Nb 2.59, 4 V 2.59

---

Record 10
First-principles (PBE) data for a geometry-optimized SbTe2PAu structure, as listed in Alexandria via LeMat-Bulk.

## Properties
The size of the total moment is 0.00 μB/f.u. The calculation puts the relative energy among the computed polymorphs at 0.0 meV per atom. The calculation puts the uncorrected formation energy at 0.695 eV/atom. Its uncorrected energy is -0.11480 Ha/atom.

Cell lengths 5.3082, 5.3082, 5.0229 Å; angles 90.00, 90.00, 90.00 degrees
With the nearest neighbours (Å) after each atom.
Element x y z (fractional)
Sb 0.0000 0.0000 0.0000  2 P 2.51
Te 0.0000 0.5000 0.5000  2 P 2.65
Te 0.5000 0.0000 0.5000  2 P 2.65
P 0.0000 0.0000 0.5000  2 Sb 2.51, 4 Te 2.65
Au 0.5000 0.5000 0.0000  8 Te 3.65, 4 Sb 3.75

---

Record 11
First-principles (PBE) data for a geometry-optimized BaPmNpO6 structure, as listed in Alexandria via LeMat-Bulk.

## Properties
The size of the total moment is 0.00 μB/f.u. The calculation puts the uncorrected formation energy at -2.957 eV/atom. Its uncorrected energy is -0.31021 Ha/atom.

Cell lengths 6.0089, 6.0089, 10.7799 Å; angles 90.00, 90.00, 120.00 degrees
With the nearest neighbours (Å) after each atom.
Element x y z (fractional)
Ba 0.0000 0.0000 0.0000  6 O 2.77
Ba 0.0000 0.0000 0.5000  6 O 2.77
Pm 0.3333 0.6667 0.2500  6 O 2.35
Pm 0.6667 0.3333 0.7500  6 O 2.35
Np 0.3333 0.6667 0.7500  6 O 2.03
Np 0.6667 0.3333 0.2500  6 O 2.03
O 0.0388 0.3945 0.6477  1 Np 2.03
O 0.0388 0.6443 0.8523  1 Np 2.03
O 0.3557 0.3945 0.8523  1 Np 2.03
O 0.3557 0.9612 0.6477  1 Np 2.03
O 0.3945 0.0388 0.1477  1 Np 2.03
O 0.3945 0.3557 0.3523  1 Np 2.03
O 0.6055 0.6443 0.6477  1 Np 2.03
O 0.6055 0.9612 0.8523  1 Np 2.03
O 0.6443 0.0388 0.3523  1 Np 2.03
O 0.6443 0.6055 0.1477  1 Np 2.03
O 0.9612 0.3557 0.1477  1 Np 2.03
O 0.9612 0.6055 0.3523  1 Np 2.03

---

Record 12
First-principles (PBE) data for a geometry-optimized Zn5Cd2Au3 structure, as listed in Alexandria via LeMat-Bulk.

## Properties
For the energy of formation from the pure elements, the calculation gives -131 meV/atom. The size of the total moment is 0.00 μB/f.u. Its uncorrected energy is -0.07108 Ha/atom.

Cell lengths 8.1796, 8.1796, 5.4270 Å; angles 95.02, 95.02, 104.94 degrees
With the nearest neighbours (Å) after each atom.
Element x y z (fractional)
Zn 0.0256 0.9744 0.7500  4 Au 2.69-2.73, 4 Zn 2.79-2.80
Zn 0.2198 0.5175 0.3750  4 Au 2.67-2.85, 2 Zn 2.70, 3 Cd 2.95-2.98
Zn 0.2252 0.2896 0.9859  4 Au 2.67-2.89, 5 Zn 2.70-2.84
Zn 0.2896 0.2252 0.4859  4 Au 2.67-2.89, 5 Zn 2.70-2.84
Zn 0.4825 0.7802 0.1250  4 Au 2.67-2.85, 2 Zn 2.70, 3 Cd 2.95-2.98
Zn 0.5175 0.2198 0.8750  4 Au 2.67-2.85, 2 Zn 2.70, 3 Cd 2.95-2.98
Zn 0.7104 0.7748 0.5141  4 Au 2.67-2.89, 5 Zn 2.70-2.84
Zn 0.7748 0.7104 0.0141  4 Au 2.67-2.89, 5 Zn 2.70-2.84
Zn 0.7802 0.4825 0.6250  4 Au 2.67-2.85, 2 Zn 2.70, 3 Cd 2.95-2.98
Zn 0.9744 0.0256 0.2500  4 Au 2.69-2.73, 4 Zn 2.79-2.80
Cd 0.1258 0.6304 0.8869  5 Au 2.95-3.20, 7 Zn 2.95-3.25, 2 Cd 2.99-3.02
Cd 0.3696 0.8742 0.6131  5 Au 2.95-3.20, 7 Zn 2.95-3.25, 2 Cd 2.99-3.02
Cd 0.6304 0.1258 0.3869  5 Au 2.95-3.20, 7 Zn 2.95-3.25, 2 Cd 2.99-3.02
Cd 0.8742 0.3696 0.1131  5 Au 2.95-3.20, 7 Zn 2.95-3.25, 2 Cd 2.99-3.02
Au 0.0146 0.7237 0.3883  6 Zn 2.67-2.85, 1 Cd 2.95
Au 0.2763 0.9854 0.1117  6 Zn 2.67-2.85, 1 Cd 2.95
Au 0.4648 0.5352 0.7500  8 Zn 2.69-2.89, 2 Au 2.86
Au 0.5352 0.4648 0.2500  8 Zn 2.69-2.89, 2 Au 2.86
Au 0.7237 0.0146 0.8883  6 Zn 2.67-2.85, 1 Cd 2.95
Au 0.9854 0.2763 0.6117  6 Zn 2.67-2.85, 1 Cd 2.95

---

- What is the uncorrected energy in the seventh record?
  -0.14905 Ha/atom